1.
# Y6Rh2N

A geometry-optimized Y6Rh2N structure (PBE, Alexandria).

Lattice parameters (Å, degrees): 6.480 7.055 9.423 90.00 88.90 90.00
Element x y z (fractional)
Y: 0.174 0.306 0.560
Y: 0.326 0.806 0.940
Y: 0.385 0.539 0.243
Y: 0.692 0.174 0.443
Rh: 0.964 0.406 0.247
N: 0.000 0.000 0.500
Y: 0.308 0.826 0.557
Y: 0.192 0.326 0.943
Rh: 0.464 0.094 0.747
Rh: 0.536 0.906 0.253
Y: 0.674 0.194 0.060
Y: 0.808 0.674 0.057
Y: 0.615 0.461 0.757
Rh: 0.036 0.594 0.753
Y: 0.115 0.039 0.257
N: 0.500 0.500 0.000
Y: 0.885 0.961 0.743
Y: 0.826 0.694 0.440

Values from the calculation:
E in eV/cell: -137.941
V in Å³/f.u.: 215
Uncorrected formation energy in eV per atom: -0.795
Symmetry: No. 14

2.
# ZnRhN

A geometry-optimized ZnRhN structure (PBE, Alexandria).

Lattice parameters (Å, degrees): 2.872 2.872 9.625 98.58 98.58 90.00
Element x y z (fractional)
Zn: 0.706 0.706 0.413
Zn: 0.294 0.294 0.587
Rh: 0.073 0.073 0.146
N: 0.399 0.399 0.798
Rh: 0.927 0.927 0.854
N: 0.601 0.601 0.202

Values from the calculation:
E in eV/cell: -31.000
V in Å³/f.u.: 39
Uncorrected formation energy in eV per atom: 0.484
Symmetry: No. 139

3.
# Zn2RhN2

A geometry-optimized Zn2RhN2 structure (PBE, Alexandria).

Lattice parameters (Å, degrees): 6.364 6.364 2.788 90.00 90.00 90.00
Element x y z (fractional)
Zn: 0.864 0.636 0.000
Zn: 0.636 0.136 0.000
Rh: 0.000 0.000 0.000
N: 0.318 0.182 0.500
Rh: 0.500 0.500 0.000
Zn: 0.364 0.864 0.000
N: 0.682 0.818 0.500
N: 0.182 0.682 0.500
N: 0.818 0.318 0.500
Zn: 0.136 0.364 0.000

Values from the calculation:
E in eV/cell: -42.023
Polymorph energy (0 for the lowest one) in meV per atom: 107.1
V in Å³/f.u.: 56
Uncorrected formation energy in eV per atom: 1.108
Symmetry: No. 127

4.
# Zn3RhN

A geometry-optimized Zn3RhN structure (PBE, Alexandria).

Lattice parameters (Å, degrees): 4.067 4.067 4.067 90.00 90.00 90.00
Element x y z (fractional)
N: 0.000 0.000 0.000
Zn: 0.000 0.500 0.000
Rh: 0.500 0.500 0.500
Zn: 0.000 0.000 0.500
Zn: 0.500 0.000 0.000

Values from the calculation:
E in eV/cell: -18.154
Polymorph energy (0 for the lowest one) in meV per atom: 0.0
V in Å³/f.u.: 67
Uncorrected formation energy in eV per atom: 0.269
Symmetry: No. 221

5.
# Zn3RhN

A geometry-optimized Zn3RhN structure (PBE, Alexandria).

Lattice parameters (Å, degrees): 4.827 4.827 4.827 90.00 90.00 90.00
Element x y z (fractional)
Rh: 0.000 0.000 0.000
Zn: 0.000 0.500 0.000
N: 0.500 0.500 0.500
Zn: 0.000 0.000 0.500
Zn: 0.500 0.000 0.000

Values from the calculation:
E in eV/cell: -13.789
Polymorph energy (0 for the lowest one) in meV per atom: 873.0
V in Å³/f.u.: 112
Uncorrected formation energy in eV per atom: 1.142
Symmetry: No. 221

6.
# Zn2Rh2N

A geometry-optimized Zn2Rh2N structure (PBE, Alexandria).

Lattice parameters (Å, degrees): 5.542 5.542 4.453 90.00 90.00 90.00
Element x y z (fractional)
Rh: 0.817 0.683 0.000
N: 0.000 0.000 0.000
N: 0.500 0.500 0.000
Zn: 0.845 0.345 0.500
Zn: 0.655 0.845 0.500
Zn: 0.345 0.155 0.500
Rh: 0.183 0.317 0.000
Rh: 0.317 0.817 0.000
Rh: 0.683 0.183 0.000
Zn: 0.155 0.655 0.500

Values from the calculation:
E in eV/cell: -49.786
V in Å³/f.u.: 68
Uncorrected formation energy in eV per atom: 0.137
Symmetry: No. 127

7.
# Zn2RhN2

A geometry-optimized Zn2RhN2 structure (PBE, Alexandria).

Lattice parameters (Å, degrees): 2.843 2.843 7.327 78.81 78.81 90.00
Element x y z (fractional)
Zn: 0.625 0.625 0.750
Zn: 0.375 0.375 0.250
N: 0.750 0.250 0.500
N: 0.250 0.750 0.500
Rh: 0.000 0.000 0.000

Values from the calculation:
E in eV/cell: -21.547
Polymorph energy (0 for the lowest one) in meV per atom: 0.0
V in Å³/f.u.: 57
Uncorrected formation energy in eV per atom: 1.001
Symmetry: No. 139

8.
# Zr6RhN

A geometry-optimized Zr6RhN structure (PBE, Alexandria).

Lattice parameters (Å, degrees): 5.119 5.885 5.745 82.09 90.69 66.67
Element x y z (fractional)
Zr: 0.065 0.342 0.790
Zr: 0.935 0.658 0.210
Zr: 0.604 0.257 0.131
Rh: 0.500 0.500 0.500
Zr: 0.396 0.743 0.869
Zr: 0.235 0.018 0.325
Zr: 0.765 0.982 0.675
N: 0.000 0.000 0.000

Values from the calculation:
E in eV/cell: -71.749
V in Å³/f.u.: 157
Uncorrected formation energy in eV per atom: -0.598
Symmetry: No. 2

9.
# Zr8RhN2

A geometry-optimized Zr8RhN2 structure (PBE, Alexandria).

Lattice parameters (Å, degrees): 5.770 6.979 6.979 55.70 81.70 81.70
Element x y z (fractional)
Zr: 0.722 0.161 0.649
Zr: 0.281 0.817 0.817
Zr: 0.719 0.183 0.183
Zr: 0.278 0.351 0.839
Zr: 0.783 0.644 0.644
N: 0.650 0.813 0.813
Rh: 0.000 0.000 0.000
N: 0.350 0.187 0.187
Zr: 0.217 0.356 0.356
Zr: 0.722 0.649 0.161
Zr: 0.278 0.839 0.351

Values from the calculation:
E in eV/cell: -97.424
V in Å³/f.u.: 229
Uncorrected formation energy in eV per atom: -0.458
Symmetry: No. 12

10.
# ZrRh2N4

A geometry-optimized ZrRh2N4 structure (PBE, Alexandria).

Lattice parameters (Å, degrees): 4.260 4.260 6.134 69.68 69.68 90.00
Element x y z (fractional)
N: 0.500 0.000 0.000
N: 0.785 0.785 0.429
Rh: 0.377 0.377 0.247
N: 0.215 0.215 0.571
Zr: 0.000 0.000 0.000
Rh: 0.623 0.623 0.753
N: 0.000 0.500 0.000

Values from the calculation:
E in eV/cell: -51.271
V in Å³/f.u.: 97
Uncorrected formation energy in eV per atom: 0.755
Symmetry: No. 139

11.
# ZrRhN2

A geometry-optimized ZrRhN2 structure (PBE, Alexandria).

Lattice parameters (Å, degrees): 3.957 3.957 3.957 60.00 60.00 60.00
Element x y z (fractional)
N: 0.250 0.250 0.250
N: 0.750 0.750 0.750
Rh: 0.500 0.500 0.500
Zr: 0.000 0.000 0.000

Values from the calculation:
E in eV/cell: -32.601
Polymorph energy (0 for the lowest one) in meV per atom: 412.5
V in Å³/f.u.: 44
Uncorrected formation energy in eV per atom: -0.013
Symmetry: No. 225

12.
# Zr2RhN

A geometry-optimized Zr2RhN structure (PBE, Alexandria).

Lattice parameters (Å, degrees): 6.124 6.124 5.810 58.19 58.19 90.00
Element x y z (fractional)
Zr: 0.875 0.808 0.750
Zr: 0.375 0.442 0.750
Zr: 0.192 0.625 0.250
N: 0.500 0.500 0.000
N: 0.250 0.750 0.500
Rh: 0.000 0.000 0.000
Zr: 0.558 0.125 0.250
Rh: 0.750 0.250 0.500

Values from the calculation:
E in eV/cell: -71.828
V in Å³/f.u.: 73
Uncorrected formation energy in eV per atom: -0.785
Symmetry: No. 122